w | A relaxed MgTeRu2 crystal. Source: Alexandria via LeMat-Bulk, functional PBE-GGA.

The structure belongs to space group P4mm (No. 99); the cell edges are 3.4821, 3.4821 and 5.6246 Å and the angles 90.00°, 90.00° and 90.00°. Symmetry generates all atoms from Mg at (0.0000, 0.0000, 0.0000), Te at (0.5000, 0.5000, 0.6867), Ru at (0.0000, 0.0000, 0.4866) and Ru at (0.5000, 0.5000, 0.1940).

The value obtained for the calculated density is 8.62 Mg/m³.

***

x | A relaxed MgTeRu2 crystal. Source: Alexandria via LeMat-Bulk, functional PBE-GGA.

The structure belongs to space group Cm (No. 8); the cell edges are 9.5228, 3.1584 and 4.6062 Å and the angles 90.00°, 108.18° and 90.00°. Symmetry generates all atoms from Mg at (0.0000, 0.0000, 0.0000), Te at (0.2673, 0.5000, 0.3762), Ru at (0.0080, 0.5000, 0.5009) and Ru at (0.2565, 0.0000, 0.8962).

The value obtained for the calculated density is 8.93 Mg/m³.

***

Which of them is most stable, and which least? Most stable: x; least stable: w.